## 1
VASP calculation (PBE-GGA) on crystalline Mg4TlCo at its relaxed geometry.

Calculated values
M_tot ... 0.744 μB/f.u.
D(E_F) ... 0.427 states/eV/atom

Cell and atoms, written as CIF:
```
data_Mg4TlCo
_chemical_formula_sum 'Mg8 Tl2 Co2'
_cell_length_a 8.1312
_cell_length_b 8.1312
_cell_length_c 5.1862
_cell_angle_alpha 108.49
_cell_angle_beta 108.49
_cell_angle_gamma 51.68
_symmetry_space_group_name_H-M 'P 1'
_symmetry_Int_Tables_number 1
loop_
_symmetry_equiv_pos_as_xyz
'x,y,z'
loop_
_atom_site_label
_atom_site_type_symbol
_atom_site_fract_x
_atom_site_fract_y
_atom_site_fract_z
_atom_site_occupancy
Mg1 Mg 0.1301 0.6281 0.3797 1
Mg2 Mg 0.2054 0.7946 0.0000 1
Mg3 Mg 0.3329 0.3329 0.8335 1
Mg4 Mg 0.3719 0.8699 0.6203 1
Mg5 Mg 0.6281 0.1301 0.3797 1
Mg6 Mg 0.6671 0.6671 0.1665 1
Mg7 Mg 0.7946 0.2054 0.0000 1
Mg8 Mg 0.8699 0.3719 0.6203 1
Tl1 Tl 0.1936 0.1936 0.1951 1
Tl2 Tl 0.8064 0.8064 0.8049 1
Co1 Co 0.5000 0.5000 0.2803 1
Co2 Co 0.5000 0.5000 0.7197 1
```

***

## 2
VASP calculation (PBE-GGA) on crystalline Mg4TlCo at its relaxed geometry.

Calculated values
M_tot ... 1.415 μB/f.u.
D(E_F) ... 1.326 states/eV/atom

Cell and atoms, written as CIF:
```
data_Mg4TlCo
_chemical_formula_sum 'Mg4 Tl1 Co1'
_cell_length_a 5.6519
_cell_length_b 5.6519
_cell_length_c 5.6519
_cell_angle_alpha 60.00
_cell_angle_beta 60.00
_cell_angle_gamma 60.00
_symmetry_space_group_name_H-M 'P 1'
_symmetry_Int_Tables_number 1
loop_
_symmetry_equiv_pos_as_xyz
'x,y,z'
loop_
_atom_site_label
_atom_site_type_symbol
_atom_site_fract_x
_atom_site_fract_y
_atom_site_fract_z
_atom_site_occupancy
Mg1 Mg 0.3756 0.3756 0.3756 1
Mg2 Mg 0.3756 0.3756 0.8731 1
Mg3 Mg 0.3756 0.8731 0.3756 1
Mg4 Mg 0.8731 0.3756 0.3756 1
Tl1 Tl 0.0000 0.0000 0.0000 1
Co1 Co 0.7500 0.7500 0.7500 1
```

***

Quick one: most stable of them? 1